InSnPdPt, relaxed, DFT PBE-GGA; crystal system = cubic; total magnetic moment = 0.0 Bohr magnetons per cell; calculated formation energy = -1.57 eV per formula unit
1.0
4.7123 0.0000 0.0000
2.3562 4.0810 0.0000
2.3562 1.3603 3.8476
Pd Sn Pt In
1 1 1 1
Direct
0.0000 0.0000 0.0000
0.7500 0.7500 0.7500
0.5000 0.5000 0.5000
0.2500 0.2500 0.2500

***

In2SnPdPt5, relaxed, DFT PBE-GGA; crystal system = tetragonal; total magnetic moment = 0.0 Bohr magnetons per cell; calculated formation energy = 0.01 eV per formula unit
1.0
-0.5983 2.4833 -7.5458
7.0070 -3.4001 -1.6746
-5.7402 -4.1239 3.3032
In Sn Pd Pt
4 2 2 10
Direct
0.1165 0.3835 0.0000
0.6165 0.1165 0.0000
0.3835 0.8835 0.0000
0.8835 0.6165 0.0000
0.2500 0.2500 0.5000
0.7500 0.7500 0.5000
0.2500 0.7500 0.5000
0.7500 0.2500 0.5000
0.9369 0.4369 0.2682
0.6687 0.1687 0.7318
0.0631 0.5631 0.7318
0.1687 0.0631 0.7318
0.5631 0.6687 0.7318
0.8313 0.9369 0.2682
0.4369 0.3313 0.2682
0.3313 0.8313 0.2682
0.5000 0.5000 0.0000
0.0000 0.0000 0.0000

***

InSn2PdPt5, relaxed, DFT PBE-GGA; crystal system = tetragonal; total magnetic moment = 0.0 Bohr magnetons per cell; calculated formation energy = -0.13 eV per formula unit
1.0
7.9067 0.0000 0.0000
0.0000 7.9067 0.0000
-3.9534 -3.9534 5.4848
In Sn Pd Pt
2 4 2 10
Direct
0.2500 0.2500 0.5000
0.7500 0.7500 0.5000
0.1198 0.3802 0.0000
0.6198 0.1198 0.0000
0.3802 0.8802 0.0000
0.8802 0.6198 0.0000
0.2500 0.7500 0.5000
0.7500 0.2500 0.5000
0.9368 0.4368 0.2711
0.6657 0.1657 0.7289
0.0632 0.5632 0.7289
0.1657 0.0632 0.7289
0.5632 0.6657 0.7289
0.8343 0.9368 0.2711
0.4368 0.3343 0.2711
0.3343 0.8343 0.2711
0.5000 0.5000 0.0000
0.0000 0.0000 0.0000

***

In2Sn2Pd7Pt, relaxed, DFT PBE-GGA; crystal system = monoclinic; total magnetic moment = 0.0 Bohr magnetons per cell; calculated formation energy = -2.44 eV per formula unit
1.0
-3.2753 -2.0080 0.1197
0.2541 -0.1880 3.8307
-9.6746 12.0498 3.2917
In Sn Pd Pt
2 2 7 1
Direct
0.6370 0.6370 0.7401
0.3630 0.3630 0.2599
0.8033 0.8033 0.3849
0.1967 0.1967 0.6151
0.5000 0.5000 0.0000
0.2733 0.2733 0.4422
0.7267 0.7267 0.5578
0.9288 0.4285 0.1340
0.4285 0.9288 0.1340
0.5715 0.0712 0.8660
0.0712 0.5715 0.8660
0.0000 0.0000 0.0000

***

Sr2In3PdPt4, relaxed, DFT PBE-GGA; crystal system = tetragonal; total magnetic moment = 0.0 Bohr magnetons per cell; calculated formation energy = -6.34 eV per formula unit
1.0
-2.0613 1.1113 -3.5769
-0.7889 -4.1200 -0.8254
-10.5060 0.7518 6.2881
Sr In Pd Pt
2 3 1 4
Direct
0.5000 0.0000 0.2686
0.0000 0.5000 0.7314
0.0000 0.0000 0.5000
0.5000 0.0000 0.8647
0.0000 0.5000 0.1353
0.5000 0.5000 0.5000
0.5000 0.5000 0.0000
0.0000 0.0000 0.0000
0.5000 0.0000 0.6474
0.0000 0.5000 0.3526

***

Sr2In5Pd2Pt, relaxed, DFT PBE-GGA; crystal system = tetragonal; total magnetic moment = 0.0 Bohr magnetons per cell; calculated formation energy = -4.58 eV per formula unit
1.0
4.0630 0.0000 0.0000
0.0000 10.8158 0.0000
0.0000 0.0000 10.8158
Sr In Pd Pt
4 10 4 2
Direct
0.0000 0.6829 0.1829
0.0000 0.3171 0.8171
0.0000 0.1829 0.3171
0.0000 0.8171 0.6829
0.5000 0.1935 0.0524
0.5000 0.8065 0.9476
0.5000 0.0524 0.8065
0.5000 0.6935 0.4476
0.5000 0.9476 0.1935
0.5000 0.3065 0.5524
0.5000 0.5524 0.6935
0.5000 0.4476 0.3065
0.5000 0.5000 0.0000
0.5000 0.0000 0.5000
0.0000 0.1183 0.6183
0.0000 0.8817 0.3817
0.0000 0.6183 0.8817
0.0000 0.3817 0.1183
0.0000 0.0000 0.0000
0.0000 0.5000 0.5000

***

TaInPdPt, relaxed, DFT PBE-GGA; crystal system = cubic; total magnetic moment = 0.0 Bohr magnetons per cell; calculated formation energy = -1.50 eV per formula unit
1.0
4.6118 0.0000 0.0000
2.3059 3.9940 0.0000
2.3059 1.3313 3.7655
In Pd Pt Ta
1 1 1 1
Direct
0.2500 0.2500 0.2500
0.0000 0.0000 0.0000
0.5000 0.5000 0.5000
0.7500 0.7500 0.7500

***

In2Te2Pd7Pt, relaxed, DFT PBE-GGA; crystal system = monoclinic; raw formation energy = -0.196 eV per atom; total magnetic moment = 0.0 Bohr magnetons per cell
1.0
-0.3326 3.8829 0.4540
-3.7524 -0.2038 -1.1278
-7.2796 0.5986 14.1920
In Te Pd Pt
2 2 7 1
Direct
0.6846 0.6846 0.7459
0.3154 0.3154 0.2541
0.7482 0.7482 0.4002
0.2518 0.2518 0.5998
0.5000 0.5000 0.0000
0.2280 0.2280 0.4290
0.7720 0.7720 0.5710
0.9046 0.4046 0.1312
0.4046 0.9046 0.1312
0.5954 0.0954 0.8688
0.0954 0.5954 0.8688
0.0000 0.0000 0.0000